[1]
A geometry-optimized CePmCdSb structure, computed with GGA-PBE.

abc: 7.6605 7.6605 7.6605
angles: 90.00 90.00 90.00
Element x y z (fractional)
1 Ce 0.0000 0.0000 0.0000
2 Ce 0.0000 0.5000 0.5000
3 Ce 0.5000 0.0000 0.5000
4 Ce 0.5000 0.5000 0.0000
5 Pm 0.0000 0.0000 0.5000
6 Pm 0.0000 0.5000 0.0000
7 Pm 0.5000 0.0000 0.0000
8 Pm 0.5000 0.5000 0.5000
9 Cd 0.2500 0.2500 0.2500
10 Cd 0.2500 0.7500 0.7500
11 Cd 0.7500 0.2500 0.7500
12 Cd 0.7500 0.7500 0.2500
13 Sb 0.2500 0.2500 0.7500
14 Sb 0.2500 0.7500 0.2500
15 Sb 0.7500 0.2500 0.2500
16 Sb 0.7500 0.7500 0.7500

[2]
A geometry-optimized CePmScCd structure, computed with GGA-PBE.

abc: 7.5729 7.5729 7.5729
angles: 90.00 90.00 90.00
Element x y z (fractional)
1 Ce 0.0000 0.0000 0.0000
2 Ce 0.0000 0.5000 0.5000
3 Ce 0.5000 0.0000 0.5000
4 Ce 0.5000 0.5000 0.0000
5 Pm 0.2500 0.2500 0.7500
6 Pm 0.2500 0.7500 0.2500
7 Pm 0.7500 0.2500 0.2500
8 Pm 0.7500 0.7500 0.7500
9 Sc 0.0000 0.0000 0.5000
10 Sc 0.0000 0.5000 0.0000
11 Sc 0.5000 0.0000 0.0000
12 Sc 0.5000 0.5000 0.5000
13 Cd 0.2500 0.2500 0.2500
14 Cd 0.2500 0.7500 0.7500
15 Cd 0.7500 0.2500 0.7500
16 Cd 0.7500 0.7500 0.2500

Calculated values
**Calculated formation energy**: 0.041 eV/atom

E_tot
In order: -4.458 -4.441
Unit: eV/atom